[1]
VASP calculation (PBE) on TiSi2Br after structural relaxation.

Calculated values
ΔE to the lowest computed polymorph = 0.0 meV/atom
theoretical density = 4.215 g/cm3
uncorrected formation energy = 720 meV/atom
total moment = 0.00 μB/atom

Cell lengths 6.6181, 6.6181, 6.6181 Å; angles 90.00, 90.00, 90.00 degrees
Space group Fm-3m (No. 225)
Inequivalent atoms, fractional coordinates:
Ti 0.0000 0.0000 0.0000
Si 0.2500 0.2500 0.2500
Br 0.0000 0.0000 0.5000

[2]
VASP calculation (PBE) on TiSi2Br2 after structural relaxation.

Calculated values
ΔE to the lowest computed polymorph = 600.6 meV/atom
theoretical density = 3.805 g/cm3
uncorrected formation energy = 855 meV/atom
total moment = 0.00 μB/atom

Cell lengths 4.4367, 4.4367, 11.6986 Å; angles 90.00, 90.00, 90.00 degrees
Space group I4/mmm (No. 139)
Inequivalent atoms, fractional coordinates:
Ti 0.0000 0.0000 0.0000
Si 0.0000 0.0000 0.4035
Br 0.0000 0.5000 0.2500

[3]
VASP calculation (PBE) on Ti2SiBr2 after structural relaxation.

Calculated values
theoretical density = 5.129 g/cm3
uncorrected formation energy = 22 meV/atom
total moment = 0.00 μB/atom

Cell lengths 7.6161, 7.6161, 3.1659 Å; angles 90.00, 90.00, 90.00 degrees
Space group P4/mbm (No. 127)
Inequivalent atoms, fractional coordinates:
Ti 0.1664 0.3336 0.0000
Si 0.0000 0.0000 0.0000
Br 0.1361 0.6361 0.5000

[4]
VASP calculation (PBE) on TlSi2Br after structural relaxation.

Calculated values
ΔE to the lowest computed polymorph = 581.5 meV/atom
theoretical density = 6.080 g/cm3
uncorrected formation energy = 568 meV/atom
total moment = 0.00 μB/atom

Cell lengths 3.3123, 5.1389, 10.9247 Å; angles 90.00, 90.00, 90.00 degrees
Space group Immm (No. 71)
Inequivalent atoms, fractional coordinates:
Tl 0.0000 0.0000 0.0000
Si 0.0000 0.5000 0.2594
Br 0.0000 0.0000 0.5000

[5]
VASP calculation (PBE) on TlSiBr2 after structural relaxation.

Calculated values
ΔE to the lowest computed polymorph = 34.0 meV/atom
theoretical density = 5.530 g/cm3
uncorrected formation energy = -148 meV/atom
total moment = 0.00 μB/atom

Cell lengths 3.6453, 4.0693, 7.9404 Å; angles 90.00, 90.08, 90.00 degrees
Space group P2/m (No. 10)
Inequivalent atoms, fractional coordinates:
Tl 0.0000 0.0000 0.0000
Si 0.5000 0.0000 0.5000
Br 0.5001 0.5000 0.2615

[6]
VASP calculation (PBE) on TlSi2Br after structural relaxation.

Calculated values
ΔE to the lowest computed polymorph = 351.2 meV/atom
theoretical density = 4.975 g/cm3
uncorrected formation energy = 337 meV/atom
total moment = 0.00 μB/atom

Cell lengths 3.8753, 5.6644, 5.1766 Å; angles 90.00, 90.43, 90.00 degrees
Space group P2/m (No. 10)
Inequivalent atoms, fractional coordinates:
Tl 0.0000 0.0000 0.0000
Si 0.2478 0.5000 0.1267
Br 0.5000 0.0000 0.5000

[7]
VASP calculation (PBE) on TlSiBr2 after structural relaxation.

Calculated values
ΔE to the lowest computed polymorph = 501.1 meV/atom
theoretical density = 6.029 g/cm3
uncorrected formation energy = 319 meV/atom
total moment = 0.24 μB/atom

Cell lengths 7.5606, 7.5606, 7.5606 Å; angles 90.00, 90.00, 90.00 degrees
Space group F-43m (No. 216)
Inequivalent atoms, fractional coordinates:
Tl 0.0000 0.0000 0.0000
Si 0.2500 0.2500 0.7500
Br 0.0000 0.0000 0.5000
Br 0.2500 0.2500 0.2500

[8]
VASP calculation (PBE) on Tl3Si5Br12 after structural relaxation.

Calculated values
theoretical density = 3.984 g/cm3
uncorrected formation energy = -305 meV/atom
total moment = 0.00 μB/atom

Cell lengths 17.8742, 17.8742, 17.8742 Å; angles 90.00, 90.00, 90.00 degrees
Space group Ia-3d (No. 230)
Inequivalent atoms, fractional coordinates:
Tl 0.0000 0.2500 0.1250
Si 0.0000 0.0000 0.0000
Si 0.0000 0.2500 0.3750
Br 0.0335 0.0489 0.6442

[9]
VASP calculation (PBE) on TlSiBr after structural relaxation.

Calculated values
ΔE to the lowest computed polymorph = 557.9 meV/atom
theoretical density = 6.630 g/cm3
uncorrected formation energy = 360 meV/atom
total moment = 0.00 μB/atom

Cell lengths 5.1065, 5.1065, 3.4644 Å; angles 90.00, 90.00, 120.00 degrees
Space group P3m1 (No. 156)
Inequivalent atoms, fractional coordinates:
Tl 0.0000 0.0000 0.0000
Si 0.3333 0.6667 0.5021
Br 0.6667 0.3333 0.4987

[10]
VASP calculation (PBE) on TlSiBr after structural relaxation.

Calculated values
ΔE to the lowest computed polymorph = 531.1 meV/atom
theoretical density = 6.568 g/cm3
uncorrected formation energy = 333 meV/atom
total moment = 0.00 μB/atom

Cell lengths 3.6806, 3.6806, 11.6596 Å; angles 90.00, 90.00, 90.00 degrees
Space group I4mm (No. 107)
Inequivalent atoms, fractional coordinates:
Tl 0.0000 0.0000 0.0000
Si 0.0000 0.0000 0.3642
Br 0.0000 0.0000 0.7184

[11]
VASP calculation (PBE) on TlSi2Br after structural relaxation.

Calculated values
ΔE to the lowest computed polymorph = 710.2 meV/atom
theoretical density = 6.005 g/cm3
uncorrected formation energy = 696 meV/atom
total moment = 0.00 μB/atom

Cell lengths 5.9795, 9.9746, 3.1567 Å; angles 90.00, 90.00, 90.00 degrees
Space group Cmmm (No. 65)
Inequivalent atoms, fractional coordinates:
Tl 0.0000 0.0000 0.0000
Si 0.2500 0.2500 0.5000
Br 0.0000 0.5000 0.0000

[12]
VASP calculation (PBE) on TlSiBr2 after structural relaxation.

Calculated values
ΔE to the lowest computed polymorph = 111.8 meV/atom
theoretical density = 4.901 g/cm3
uncorrected formation energy = -70 meV/atom
total moment = 0.00 μB/atom

Cell lengths 3.8752, 3.8752, 30.6615 Å; angles 90.00, 90.00, 120.00 degrees
Space group R-3m (No. 166, hexagonal axes)
Inequivalent atoms, fractional coordinates:
Tl 0.0000 0.0000 0.0000
Si 0.0000 0.0000 0.5000
Br 0.0000 0.0000 0.1132